[1]
# TbNdNi2Pb

TbNdNi2Pb after structural relaxation (PBE, OQMD).

Properties
* magnetic moment: 0.0 μB/f.u.
* V: 108.0 Å³ per cell
* electronic total energy: -5.32 eV/atom

a b c (Å): 3.7214 7.4981 7.4981
angles (deg): 31.09 90.00 90.00
With the nearest neighbours (Å) after each atom.
Atoms (fractional coordinates):
Nd: 0.0000 0.3624 0.3624  6 Ni 2.91-3.00
Ni: 0.5000 0.1992 0.1992  2 Ni 2.44
Ni: 0.5000 0.7948 0.7948  2 Ni 2.44
Pb: 0.5000 0.0037 0.0037  2 Ni 2.82-3.02
Tb: 0.0000 0.6399 0.6399  6 Ni 2.87-2.91

=====

[2]
# Hf4Ni2SbAs

Hf4Ni2SbAs after structural relaxation (PBE, OQMD).

Properties
* magnetic moment: 0.0 μB/f.u.
* V: 146.4 Å³ per cell
* electronic total energy: -8.11 eV/atom

a b c (Å): 5.4180 3.7283 7.6931
angles (deg): 90.00 109.57 90.00
With the nearest neighbours (Å) after each atom.
Atoms (fractional coordinates):
As: 0.8695 0.0000 0.2087  2 Ni 2.45
Hf: 0.3079 0.0000 0.0980  2 Ni 2.68, 2 As 2.78-2.87, 2 Sb 2.92
Hf: 0.2249 0.5000 0.4276  4 Ni 2.73-2.98, 2 As 2.80, 1 Sb 3.00
Hf: 0.7438 0.0000 0.5513  3 Ni 2.59-2.63
Hf: 0.7022 0.5000 0.9278  3 Ni 2.74-2.95, 2 As 2.77, 2 Sb 2.84-2.93
Ni: 0.6416 0.5000 0.2950  2 As 2.45, 4 Hf 2.63-2.68
Ni: 0.3818 0.0000 0.7017  2 Sb 2.54, 5 Hf 2.59-2.74
Sb: 0.1282 0.5000 0.7898  2 Ni 2.54

=====

[3]
# PmNdSe2

PmNdSe2 after structural relaxation (PBE, OQMD).

Properties
* magnetic moment: 0.0 μB/f.u.
* V: 105.2 Å³ per cell
* electronic total energy: -5.96 eV/atom

a b c (Å): 4.2053 4.2053 5.9509
angles (deg): 90.00 90.00 90.00
With the nearest neighbours (Å) after each atom.
Atoms (fractional coordinates):
Nd: 0.0000 0.0000 0.0000  6 Se 2.97-2.98
Pm: 0.5000 0.5000 0.5000  6 Se 2.97-2.98
Se: 0.5000 0.5000 0.0000  4 Nd 2.97, 2 Pm 2.98
Se: 0.0000 0.0000 0.5000  4 Pm 2.97, 2 Nd 2.98

=====

[4]
# CsUTe

CsUTe after structural relaxation (PBE, OQMD).

Properties
* magnetic moment: 5.0 μB/f.u.
* ΔE to the lowest computed polymorph: 442 meV per atom
* V: 128.9 Å³ per cell

a b c (Å): 5.6695 5.6695 5.6695
angles (deg): 60.00 60.00 60.00
With the nearest neighbours (Å) after each atom.
Atoms (fractional coordinates):
Cs: 0.0000 0.0000 0.0000  4 U 3.47, 4 Te 3.47
Te: 0.2500 0.2500 0.2500  4 Cs 3.47
U: 0.7500 0.7500 0.7500  4 Cs 3.47

=====

[5]
# BaHf2

BaHf2 after structural relaxation (PBE, OQMD).

Properties
* magnetic moment: 3.5 μB/f.u.
* ΔE to the lowest computed polymorph: 367 meV per atom
* V: 186.5 Å³ per cell

a b c (Å): 6.4127 6.4127 6.4127
angles (deg): 60.00 60.00 60.00
With the nearest neighbours (Å) after each atom.
Atoms (fractional coordinates):
Ba: 0.0000 0.0000 0.0000  12 Hf 3.76, 4 Ba 3.93
Ba: 0.2500 0.2500 0.2500  12 Hf 3.76, 4 Ba 3.93
Hf: 0.6250 0.6250 0.1250  6 Hf 3.21
Hf: 0.6250 0.1250 0.6250  6 Hf 3.21
Hf: 0.1250 0.6250 0.6250  6 Hf 3.21
Hf: 0.6250 0.6250 0.6250  6 Hf 3.21

=====

[6]
# ZrCdInTe3

ZrCdInTe3 after structural relaxation (PBE, OQMD).

Properties
* magnetic moment: 0.7 μB/f.u.
* ΔE to the lowest computed polymorph: 0 meV per atom
* V: 357.6 Å³ per cell

a b c (Å): 7.9466 7.9466 11.1582
angles (deg): 90.00 90.00 149.50
With the nearest neighbours (Å) after each atom.
Atoms (fractional coordinates):
Cd: 0.4593 0.5407 0.2500  4 Te 2.81-2.86
Cd: 0.5407 0.4593 0.7500  4 Te 2.81-2.86
In: 0.7638 0.2362 0.2500  8 Te 3.43-3.73, 2 Cd 3.65
In: 0.2362 0.7638 0.7500  8 Te 3.43-3.73, 2 Cd 3.65
Te: 0.3624 0.6376 0.0358  1 Cd 2.81, 2 Zr 3.00
Te: 0.0862 0.9138 0.2500  2 Cd 2.86, 2 Zr 3.09
Te: 0.3624 0.6376 0.4642  1 Cd 2.81, 2 Zr 3.00
Te: 0.6376 0.3624 0.5358  1 Cd 2.81, 2 Zr 3.00
Te: 0.9138 0.0862 0.7500  2 Cd 2.86, 2 Zr 3.09
Te: 0.6376 0.3624 0.9642  1 Cd 2.81, 2 Zr 3.00
Zr: 0.0000 0.0000 0.0000  6 Te 3.00-3.09
Zr: 0.0000 0.0000 0.5000  6 Te 3.00-3.09

=====

[7]
# TaHgNO

TaHgNO after structural relaxation (PBE, OQMD).

Properties
* magnetic moment: 0.0 μB/f.u.
* ΔE to the lowest computed polymorph: 0 meV per atom
* V: 162.8 Å³ per cell

a b c (Å): 3.4132 6.0787 7.8489
angles (deg): 90.00 90.00 90.00
With the nearest neighbours (Å) after each atom.
Atoms (fractional coordinates):
Hg: 0.5000 0.0010 0.1599  3 O 3.11-3.16, 2 Hg 3.41
Hg: 0.5000 0.5010 0.8401  3 O 3.11-3.16, 2 Hg 3.41
N: 0.0000 0.7511 0.5000  2 Ta 1.88
N: 0.0000 0.2511 0.5000  2 Ta 1.88
O: 0.5000 0.5009 0.2422  2 Ta 1.94
O: 0.5000 0.0009 0.7578  2 Ta 1.94
Ta: 0.0000 0.5010 0.3587  2 N 1.88, 2 O 1.94
Ta: 0.0000 0.0010 0.6413  2 N 1.88, 2 O 1.94

=====

[8]
# LaMgCoSi2

LaMgCoSi2 after structural relaxation (PBE, OQMD).

Properties
* magnetic moment: 0.4 μB/f.u.
* V: 91.3 Å³ per cell
* electronic total energy: -5.36 eV/atom

a b c (Å): 6.0702 6.0702 6.0702
angles (deg): 140.07 140.07 57.74
With the nearest neighbours (Å) after each atom.
Atoms (fractional coordinates):
Co: 0.2500 0.7500 0.5000  4 Si 2.52
La: 0.0000 0.0000 0.0000  8 Si 3.18, 4 Co 3.37, 4 Mg 3.37
Mg: 0.7500 0.2500 0.5000  4 Si 2.52
Si: 0.3850 0.3850 0.0000  1 Si 2.44, 2 Co 2.52, 2 Mg 2.52
Si: 0.6150 0.6150 0.0000  1 Si 2.44, 2 Mg 2.52, 2 Co 2.52

=====

[9]
# NaThZn

NaThZn after structural relaxation (PBE, OQMD).

Properties
* magnetic moment: 0.0 μB/f.u.
* ΔE to the lowest computed polymorph: 0 meV per atom
* V: 83.6 Å³ per cell

a b c (Å): 4.9081 4.9081 4.9081
angles (deg): 60.00 60.00 60.00
With the nearest neighbours (Å) after each atom.
Atoms (fractional coordinates):
Na: 0.2500 0.2500 0.2500  4 Zn 3.01
Th: 0.7500 0.7500 0.7500  4 Zn 3.01
Zn: 0.0000 0.0000 0.0000  4 Na 3.01, 4 Th 3.01

=====

[10]
# DyH3O3

DyH3O3 after structural relaxation (PBE, OQMD).

Properties
* magnetic moment: 0.0 μB/f.u.
* ΔE to the lowest computed polymorph: 0 meV per atom
* V: 117.1 Å³ per cell

a b c (Å): 6.2093 6.2093 3.5058
angles (deg): 90.00 90.00 120.00
With the nearest neighbours (Å) after each atom.
Atoms (fractional coordinates):
Dy: 0.6667 0.3333 0.2500  9 O 2.40-2.42
Dy: 0.3333 0.6667 0.7500  9 O 2.40-2.42
H: 0.1315 0.2728 0.2500  1 O 0.97
H: 0.7272 0.8587 0.2500  1 O 0.97
H: 0.1413 0.8685 0.2500  1 O 0.97
H: 0.8587 0.1315 0.7500  1 O 0.97
H: 0.2728 0.1413 0.7500  1 O 0.97
H: 0.8685 0.7272 0.7500  1 O 0.97
O: 0.3095 0.3914 0.2500  1 H 0.97
O: 0.0820 0.6905 0.2500  1 H 0.97
O: 0.6086 0.9180 0.2500  1 H 0.97
O: 0.3914 0.0820 0.7500  1 H 0.97
O: 0.9180 0.3095 0.7500  1 H 0.97
O: 0.6905 0.6086 0.7500  1 H 0.97

=====

[11]
# TmPuW

TmPuW after structural relaxation (PBE, OQMD).

Properties
* magnetic moment: 4.3 μB/f.u.
* E_form: 1341 meV per atom
* V: 68.5 Å³ per cell

a b c (Å): 4.5933 4.5933 4.5933
angles (deg): 60.00 60.00 60.00
With the nearest neighbours (Å) after each atom.
Atoms (fractional coordinates):
Pu: 0.2500 0.2500 0.2500  4 Tm 2.81
Tm: 0.0000 0.0000 0.0000  4 W 2.81, 4 Pu 2.81
W: 0.7500 0.7500 0.7500  4 Tm 2.81

=====

[12]
# TaSiNi

TaSiNi after structural relaxation (PBE, OQMD).

Properties
* magnetic moment: 0.0 μB/f.u.
* V: 82.9 Å³ per cell
* electronic total energy: -8.14 eV/atom

a b c (Å): 4.0281 4.0281 5.8988
angles (deg): 90.00 90.00 120.00
With the nearest neighbours (Å) after each atom.
Atoms (fractional coordinates):
Ni: 0.3333 0.6667 0.0428  4 Si 2.36-2.54, 3 Ta 2.59
Ni: 0.6667 0.3333 0.5428  4 Si 2.36-2.54, 3 Ta 2.59
Si: 0.3333 0.6667 0.4725  4 Ni 2.36-2.54
Si: 0.6667 0.3333 0.9725  4 Ni 2.36-2.54
Ta: 0.0000 0.0000 0.2347  3 Ni 2.59, 6 Si 2.72-2.79
Ta: 0.0000 0.0000 0.7347  3 Ni 2.59, 6 Si 2.72-2.79